ScInHg2 | the Alexandria database | PBE | optimized geometry; electronic total energy = -2.5718 eV/atom; crystal system = tetragonal
1.0
3.424 0.000 0.000
0.000 3.424 0.000
0.000 0.000 7.929
Sc In Hg
1 1 2
direct
0.000 0.000 0.000
0.500 0.500 0.752
0.000 0.000 0.489
0.500 0.500 0.230

***

DyZnAgAu | the Alexandria database | PBE | optimized geometry; electronic total energy = -3.4371 eV/atom; crystal system = cubic
1.0
0.000 3.414 3.414
3.414 0.000 3.414
3.414 3.414 0.000
Dy Zn Ag Au
1 1 1 1
direct
0.000 0.000 0.000
0.500 0.500 0.500
0.250 0.250 0.250
0.750 0.750 0.750

***

V2FeSi2 | the Alexandria database | PBE | optimized geometry; crystal system = tetragonal; formation energy without anion corrections = -0.4205 eV/atom
1.0
5.793 0.000 0.000
0.000 5.793 0.000
0.000 0.000 3.789
V Fe Si
4 2 4
direct
0.156 0.344 0.000
0.344 0.844 0.000
0.656 0.156 0.000
0.844 0.656 0.000
0.000 0.000 0.500
0.500 0.500 0.500
0.145 0.645 0.500
0.355 0.145 0.500
0.645 0.855 0.500
0.855 0.355 0.500

***

CdNiRu2 | the Alexandria database | PBE | optimized geometry; electronic total energy = -5.9669 eV/atom; crystal system = trigonal
1.0
1.378 0.796 8.930
-1.378 0.796 8.930
0.000 -1.591 8.930
Cd Ni Ru
1 1 2
direct
0.000 0.000 0.000
0.500 0.500 0.500
0.242 0.242 0.242
0.758 0.758 0.758

***

Dy2PuSe4 | the Alexandria database | PBE | optimized geometry; energy above the most stable polymorph in this dataset = 0 meV/atom; crystal system = orthorhombic; formation energy without anion corrections = -1.7449 eV/atom
1.0
2.023 -6.710 0.000
2.023 6.710 0.000
0.000 0.000 13.804
Dy Pu Se
4 2 8
direct
0.133 0.867 0.568
0.133 0.867 0.932
0.867 0.133 0.068
0.867 0.133 0.432
0.381 0.619 0.750
0.619 0.381 0.250
0.040 0.960 0.750
0.226 0.774 0.122
0.226 0.774 0.378
0.500 0.500 0.000
0.500 0.500 0.500
0.774 0.226 0.622
0.774 0.226 0.878
0.960 0.040 0.250

***

LaAgH8Pd4 | the Alexandria database | PBE | optimized geometry; electronic total energy = -4.0818 eV/atom; crystal system = trigonal
1.0
2.966 1.713 4.750
-2.966 1.713 4.750
0.000 -3.425 4.750
La Ag H Pd
1 1 8 4
direct
0.000 0.000 0.000
0.615 0.615 0.615
0.349 0.349 0.850
0.349 0.850 0.349
0.379 0.379 0.379
0.464 0.851 0.851
0.836 0.836 0.836
0.850 0.349 0.349
0.851 0.464 0.851
0.851 0.851 0.464
0.126 0.619 0.619
0.247 0.247 0.247
0.619 0.126 0.619
0.619 0.619 0.126

***

Be2Al2Tl | the Alexandria database | PBE | optimized geometry; energy above the most stable polymorph in this dataset = 0 meV/atom; crystal system = tetragonal
1.0
7.171 0.000 0.000
0.000 7.171 0.000
0.000 0.000 3.104
Be Al Tl
4 4 2
direct
0.109 0.391 0.000
0.391 0.891 0.000
0.609 0.109 0.000
0.891 0.609 0.000
0.176 0.676 0.500
0.324 0.176 0.500
0.676 0.824 0.500
0.824 0.324 0.500
0.000 0.000 0.000
0.500 0.500 0.000

***

Ta2Ga2Ni7Rh | the Alexandria database | PBE | optimized geometry; electronic total energy = -6.4226 eV/atom; crystal system = tetragonal
1.0
-1.679 1.679 14.621
1.679 -1.679 14.621
1.679 1.679 -14.621
Ta Ga Ni Rh
2 2 7 1
direct
0.133 0.133 0.000
0.867 0.867 0.000
0.310 0.310 0.000
0.690 0.690 0.000
0.000 0.000 0.000
0.068 0.568 0.500
0.226 0.226 0.000
0.432 0.932 0.500
0.568 0.068 0.500
0.774 0.774 0.000
0.932 0.432 0.500
0.500 0.500 0.000

***

NbAgRh2N | the Alexandria database | PBE | optimized geometry; crystal system = tetragonal; formation energy without anion corrections = 2.1267 eV/atom
1.0
4.695 0.000 0.000
0.000 4.695 0.000
0.000 0.000 5.339
Nb Ag Rh N
1 1 2 1
direct
0.000 0.000 0.000
0.000 0.000 0.500
0.000 0.500 0.000
0.500 0.000 0.000
0.500 0.500 0.500

***

LaSmHoTe3 | the Alexandria database | PBE | optimized geometry; crystal system = monoclinic; formation energy without anion corrections = -1.2973 eV/atom
1.0
8.644 0.000 0.000
0.000 4.387 0.000
-2.880 0.000 10.453
La Sm Ho Te
2 2 2 6
direct
0.191 0.250 0.218
0.809 0.750 0.782
0.336 0.750 0.909
0.664 0.250 0.091
0.154 0.250 0.621
0.846 0.750 0.379
0.083 0.250 0.889
0.220 0.750 0.453
0.485 0.750 0.210
0.515 0.250 0.790
0.780 0.250 0.547
0.917 0.750 0.111

***

Mn2CuNi | the Alexandria database | PBE | optimized geometry; electronic total energy = -6.9692 eV/atom; crystal system = tetragonal
1.0
4.210 0.000 0.000
0.000 4.210 0.000
0.000 0.000 2.882
Mn Cu Ni
2 1 1
direct
0.000 0.500 0.000
0.500 0.000 0.000
0.000 0.000 0.500
0.500 0.500 0.500

***

ReBiCl2 | the Alexandria database | PBE | optimized geometry; energy above the most stable polymorph in this dataset = 0 meV/atom; crystal system = trigonal; formation energy without anion corrections = 0.2696 eV/atom
1.0
1.557 0.899 11.871
-1.557 0.899 11.871
0.000 -1.798 11.871
Re Bi Cl
1 1 2
direct
0.000 0.000 0.000
0.500 0.500 0.500
0.063 0.063 0.063
0.937 0.937 0.937

***

BaBiSeCl2 | the Alexandria database | PBE | optimized geometry; crystal system = tetragonal; formation energy without anion corrections = -0.5320 eV/atom
1.0
5.631 0.000 0.000
0.000 5.631 0.000
0.000 0.000 11.716
Ba Bi Se Cl
1 1 1 2
direct
0.000 0.000 0.000
0.000 0.000 0.500
0.500 0.500 0.500
0.000 0.500 0.000
0.500 0.000 0.000

***

Ba2ScIn | the Alexandria database | PBE | optimized geometry; electronic total energy = -3.0451 eV/atom; crystal system = trigonal
1.0
1.967 1.136 11.771
-1.967 1.136 11.771
0.000 -2.271 11.771
Ba Sc In
2 1 1
direct
0.248 0.248 0.248
0.752 0.752 0.752
0.000 0.000 0.000
0.500 0.500 0.500

***

Ir2SN | the Alexandria database | PBE | optimized geometry; energy above the most stable polymorph in this dataset = 0 meV/atom; crystal system = tetragonal; formation energy without anion corrections = 0.3852 eV/atom
1.0
-2.352 2.352 5.458
2.352 -2.352 5.458
2.352 2.352 -5.458
Ir S N
4 2 2
direct
0.055 0.625 0.930
0.375 0.305 0.430
0.695 0.125 0.070
0.875 0.945 0.570
0.250 0.750 0.500
0.500 0.500 0.000
0.000 0.000 0.000
0.750 0.250 0.500

***

K2CdPtCl6 | the Alexandria database | PBE | optimized geometry; crystal system = trigonal; formation energy without anion corrections = -1.0974 eV/atom
1.0
3.581 2.068 12.565
-3.581 2.068 12.565
0.000 -4.135 12.565
K Cd Pt Cl
4 2 2 12
direct
0.132 0.132 0.132
0.301 0.301 0.301
0.699 0.699 0.699
0.868 0.868 0.868
0.414 0.414 0.414
0.586 0.586 0.586
0.000 0.000 0.000
0.500 0.500 0.500
0.128 0.625 0.625
0.202 0.202 0.710
0.202 0.710 0.202
0.290 0.798 0.798
0.375 0.375 0.872
0.375 0.872 0.375
0.625 0.128 0.625
0.625 0.625 0.128
0.710 0.202 0.202
0.798 0.290 0.798
0.798 0.798 0.290
0.872 0.375 0.375

***

CsHg3Au | the Alexandria database | PBE | optimized geometry; energy above the most stable polymorph in this dataset = 28 meV/atom; crystal system = monoclinic
1.0
10.147 0.000 0.000
0.000 6.130 0.000
-6.567 0.000 10.976
Cs Hg Au
4 12 4
direct
0.167 0.036 0.199
0.167 0.464 0.699
0.833 0.536 0.301
0.833 0.964 0.801
0.134 0.001 0.473
0.134 0.499 0.973
0.291 0.570 0.444
0.291 0.930 0.944
0.425 0.535 0.253
0.425 0.965 0.753
0.575 0.035 0.247
0.575 0.465 0.747
0.709 0.070 0.056
0.709 0.430 0.556
0.866 0.501 0.027
0.866 0.999 0.527
0.446 0.151 0.549
0.446 0.349 0.049
0.554 0.651 0.951
0.554 0.849 0.451

***

CeInAgPb | the Alexandria database | PBE | optimized geometry; energy above the most stable polymorph in this dataset = 0 meV/atom; crystal system = orthorhombic
1.0
4.594 0.000 0.000
0.000 4.609 0.000
0.000 0.000 4.891
Ce In Ag Pb
1 1 1 1
direct
0.000 0.000 0.000
0.500 0.000 0.500
0.000 0.500 0.500
0.500 0.500 0.000

***

CePa2H | the Alexandria database | PBE | optimized geometry; energy above the most stable polymorph in this dataset = 0 meV/atom; crystal system = trigonal
1.0
1.566 0.904 9.154
-1.566 0.904 9.154
0.000 -1.808 9.154
Ce Pa H
1 2 1
direct
0.000 0.000 0.000
0.110 0.110 0.110
0.890 0.890 0.890
0.500 0.500 0.500

***

SrPu2Pt | the Alexandria database | PBE | optimized geometry; electronic total energy = -9.1318 eV/atom; crystal system = trigonal
1.0
2.395 1.383 6.411
-2.395 1.383 6.411
0.000 -2.766 6.411
Sr Pu Pt
1 2 1
direct
0.000 0.000 0.000
0.213 0.213 0.213
0.787 0.787 0.787
0.500 0.500 0.500

***

The following M_tot values (in μB per formula unit) correspond, in order, to the records above: 0.3 0.0 0.0 0.9 5.7 0.0 0.0 1.1 2.4 0.0 8.0 0.0 1.0 0.9 0.0 1.0 0.0 0.9 0.0 11.9.